Below is a relaxed AcCoB2Ru crystal, with properties calculated at the PBE level.

Computed properties:
Formation energy, eV per atom: -0.41
Space group: No. 119
Energy, eV/atom: -7.18

Unit cell a=3.849 b=3.849 c=5.925 alpha=108.95 beta=108.95 gamma=90.00
Fractional positions:
Ac: 0.000 0.000 0.000
Co: 0.750 0.250 0.500
B: 0.678 0.678 0.355
B: 0.322 0.322 0.645
Ru: 0.250 0.750 0.500